Entry 1:
Computed, not measured: a relaxed structure of SrMgZr at the GGA-PBE level of DFT.

a b c (Å): 5.040 10.759 3.460
angles (deg): 99.26 90.00 90.00
Sites, in units of the cell vectors:
Sr1 0.823 0.962 0.249
Sr2 0.823 0.340 0.437
Mg1 0.324 0.543 0.039
Mg2 0.323 0.143 0.838
Zr1 0.823 0.667 0.601
Zr2 0.323 0.783 0.660

- Relative energy among the computed polymorphs: 0.119 eV per atom
- Symmetry: Amm2, No. 38

=====

Entry 2:
Computed, not measured: a relaxed structure of Ho5Tm2Mg at the GGA-PBE level of DFT.

a b c (Å): 9.237 3.532 18.409
angles (deg): 61.35 108.00 112.45
Sites, in units of the cell vectors:
Ho1 0.871 0.751 0.848
Ho2 0.880 0.748 0.653
Ho3 0.469 0.941 0.411
Ho4 0.489 0.757 0.093
Ho5 0.784 0.642 0.256
Ho6 0.216 0.358 0.744
Ho7 0.531 0.059 0.589
Ho8 0.511 0.243 0.907
Ho9 0.129 0.249 0.152
Ho10 0.120 0.252 0.347
Tm1 0.822 0.675 0.459
Tm2 0.808 0.708 0.040
Tm3 0.178 0.325 0.541
Tm4 0.192 0.292 0.960
Mg1 0.559 0.179 0.752
Mg2 0.441 0.821 0.248

- Electronic total energy: -66.0 eV for the cell shown
- Symmetry: P-1, No. 2

=====

Entry 3:
Computed, not measured: a relaxed structure of AcPuSn at the GGA-PBE level of DFT.

a b c (Å): 4.227 4.227 6.062
angles (deg): 110.41 110.41 90.00
Sites, in units of the cell vectors:
Ac1 0.990 0.990 0.981
Sn1 0.325 0.325 0.651
Pu1 0.684 0.684 0.369

- Relative energy among the computed polymorphs: 0.192 eV per atom
- Symmetry: I4mm, No. 107